Entry 1:
VASP calculation (PBE) on a relaxed Dy3Ho4Te8 crystal.

The calculation puts the total energy at -154.92 eV/cell. The uncorrected formation energy comes out at -1.347 eV/atom.

Lattice parameters (Å, degrees): 12.238 12.239 8.654 90.00 135.00 90.00
Space group C2/m (No. 12)
One atom of each set of equivalent atoms:
Dy1 0.000 0.000 0.000 x2
Dy2 0.250 0.250 0.000 x4
Ho1 0.000 0.000 0.500 x2
Ho2 0.000 0.500 0.000 x2
Ho3 0.250 0.250 0.500 x4
Te1 0.000 0.250 0.000 x4
Te2 0.000 0.255 0.500 x4
Te3 0.244 0.500 0.499 x4
Te4 0.244 0.500 0.989 x4

=====

Entry 2:
VASP calculation (PBE) on a relaxed U8TiSe17 crystal.

The calculation puts the total energy at -375.67 eV/cell. The uncorrected formation energy comes out at -1.169 eV/atom.

Lattice parameters (Å, degrees): 13.866 8.821 10.857 90.00 101.08 90.00
Space group C2/m (No. 12)
One atom of each set of equivalent atoms:
U1 0.060 0.241 0.201 x8
U2 0.182 0.500 0.513 x4
U3 0.203 0.000 0.960 x4
Ti1 0.000 0.000 0.500 x2
Se1 0.000 0.000 0.000 x2
Se2 0.021 0.500 0.669 x4
Se3 0.062 0.000 0.730 x4
Se4 0.127 0.307 0.963 x8
Se5 0.133 0.192 0.473 x8
Se6 0.198 0.500 0.253 x4
Se7 0.213 0.000 0.226 x4

=====

Entry 3:
VASP calculation (PBE) on a relaxed PtSe2N crystal.

The calculation puts the total energy at -39.24 eV/cell. The uncorrected formation energy comes out at 0.428 eV/atom.

Lattice parameters (Å, degrees): 2.835 7.545 8.646 65.42 87.46 89.94
Space group P-1 (No. 2)
One atom of each set of equivalent atoms:
Pt1 0.000 0.244 0.000 x2
Se1 0.028 0.100 0.789 x2
Se2 0.028 0.598 0.795 x2
N1 0.452 0.330 0.354 x2

=====

Entry 4:
VASP calculation (PBE) on a relaxed LuHfMg crystal.

For the formation energy, the calculation gives 0.213 eV per formula unit. The calculation puts the total energy at -15.86 eV/cell. The offset from the most stable computed form is 51.7 meV/atom.

Lattice parameters (Å, degrees): 3.2594 3.2594 8.0899 90.00 90.00 120.00
Space group P3m1 (No. 156)
One atom of each set of equivalent atoms:
Lu1 0.0000 0.0000 0.0000 x1
Hf1 0.3333 0.6667 0.6830 x1
Mg1 0.6667 0.3333 0.3568 x1

=====

Entry 5:
VASP calculation (PBE) on a relaxed AcNdEr2P4 crystal.

For the formation energy, the calculation gives -12.089 eV per formula unit. The calculation puts the total energy at -51.73 eV/cell.

Lattice parameters (Å, degrees): 7.172 4.142 7.179 90.00 109.42 90.00
Space group P2/m (No. 10)
One atom of each set of equivalent atoms:
Ac1 0.000 0.000 0.000 x1
Nd1 0.000 0.500 0.500 x1
Er1 0.500 0.000 0.500 x1
Er2 0.500 0.500 0.000 x1
P1 0.266 0.000 0.750 x2
P2 0.272 0.500 0.263 x2

=====

Entry 6:
VASP calculation (PBE) on a relaxed Ti7Co2S2 crystal.

The calculation puts the total energy at -169.06 eV/cell. The uncorrected formation energy comes out at -0.618 eV/atom.

Lattice parameters (Å, degrees): 3.199 12.523 8.192 90.00 90.00 90.00
Space group Imm2 (No. 44)
One atom of each set of equivalent atoms:
Ti1 0.000 0.000 0.000 x2
Ti2 0.000 0.129 0.645 x4
Ti3 0.000 0.306 0.410 x4
Ti4 0.000 0.387 0.793 x4
Co1 0.000 0.000 0.431 x2
Co2 0.000 0.500 0.259 x2
S1 0.000 0.215 0.129 x4

=====

Entry 7:
VASP calculation (PBE) on a relaxed KZr2Sc crystal.

For the formation energy, the calculation gives 3.475 eV per formula unit. The calculation puts the total energy at -84.20 eV/cell. The offset from the most stable computed form is 539.2 meV/atom.

Lattice parameters (Å, degrees): 7.558 7.558 7.558 90.00 90.00 90.00
Space group F-43m (No. 216)
One atom of each set of equivalent atoms:
K1 0.000 0.000 0.000 x4
Zr1 0.000 0.000 0.500 x4
Zr2 0.250 0.250 0.250 x4
Sc1 0.250 0.250 0.750 x4

=====

Entry 8:
VASP calculation (PBE) on a relaxed BeInO3 crystal.

The calculation puts the total energy at -26.87 eV/cell. The uncorrected formation energy comes out at -1.107 eV/atom.

Lattice parameters (Å, degrees): 3.509 3.509 3.509 90.00 90.00 90.00
Space group Pm-3m (No. 221)
One atom of each set of equivalent atoms:
Be1 0.000 0.000 0.000 x1
In1 0.500 0.500 0.500 x1
O1 0.000 0.000 0.500 x3

=====

Entry 9:
VASP calculation (PBE) on a relaxed NiIrBr3 crystal.

The calculation puts the total energy at -14.81 eV/cell. The offset from the most stable computed form is 189.5 meV/atom. The uncorrected formation energy comes out at 0.970 eV/atom.

Lattice parameters (Å, degrees): 4.852 4.852 4.852 90.00 90.00 90.00
Space group Pm-3m (No. 221)
One atom of each set of equivalent atoms:
Ni1 0.000 0.000 0.000 x1
Ir1 0.500 0.500 0.500 x1
Br1 0.000 0.000 0.500 x3

=====

Entry 10:
VASP calculation (PBE) on a relaxed AgTeSeN2 crystal.

The calculation puts the total energy at -17.70 eV/cell. The offset from the most stable computed form is 395.0 meV/atom. The uncorrected formation energy comes out at 1.686 eV/atom.

Lattice parameters (Å, degrees): 4.083 4.083 6.872 90.00 90.00 90.00
Space group P4/mmm (No. 123)
One atom of each set of equivalent atoms:
Ag1 0.000 0.000 0.000 x1
Te1 0.000 0.000 0.500 x1
Se1 0.500 0.500 0.500 x1
N1 0.000 0.500 0.000 x2

=====

Entry 11:
VASP calculation (PBE) on a relaxed MoAs2W crystal.

For the formation energy, the calculation gives 0.479 eV per formula unit. The calculation puts the total energy at -130.42 eV/cell. The offset from the most stable computed form is 143.4 meV/atom.

Lattice parameters (Å, degrees): 6.258 6.258 6.258 90.00 90.00 90.00
Space group Fm-3m (No. 225)
One atom of each set of equivalent atoms:
Mo1 0.000 0.000 0.000 x4
As1 0.250 0.250 0.250 x8
W1 0.000 0.000 0.500 x4

=====

Entry 12:
VASP calculation (PBE) on a relaxed Na2SrOsF8 crystal.

The calculation puts the total energy at -61.40 eV/cell. The uncorrected formation energy comes out at -2.573 eV/atom.

Lattice parameters (Å, degrees): 4.389 7.516 5.510 90.00 90.92 90.00
Space group P2/m (No. 10)
One atom of each set of equivalent atoms:
Na1 0.000 0.242 0.000 x2
Sr1 0.500 0.000 0.500 x1
Os1 0.500 0.500 0.500 x1
F1 0.052 0.000 0.248 x2
F2 0.158 0.500 0.276 x2
F3 0.370 0.296 0.709 x4

=====

Entry 13:
VASP calculation (PBE) on a relaxed AlC2 crystal.

For the formation energy, the calculation gives 7.856 eV per formula unit. The calculation puts the total energy at -114.67 eV/cell. The offset from the most stable computed form is 2331.5 meV/atom.

Lattice parameters (Å, degrees): 6.029 6.029 6.029 90.00 90.00 90.00
Space group Fd-3m (No. 227, origin choice 2)
One atom of each set of equivalent atoms:
Al1 0.125 0.125 0.125 x8
C1 0.000 0.000 0.500 x16

=====

Entry 14:
VASP calculation (PBE) on a relaxed YZrPa2P4 crystal.

For the formation energy, the calculation gives -11.192 eV per formula unit. The calculation puts the total energy at -66.84 eV/cell.

Lattice parameters (Å, degrees): 6.743 3.939 6.804 90.00 109.74 90.00
Space group P2/m (No. 10)
One atom of each set of equivalent atoms:
Y1 0.000 0.000 0.000 x1
Zr1 0.000 0.500 0.500 x1
Pa1 0.500 0.000 0.500 x1
Pa2 0.500 0.500 0.000 x1
P1 0.243 0.000 0.742 x2
P2 0.247 0.500 0.255 x2

=====

Entry 15:
VASP calculation (PBE) on a relaxed CeSc3Sn crystal.

For the formation energy, the calculation gives 0.598 eV per formula unit. The calculation puts the total energy at -28.33 eV/cell.

Lattice parameters (Å, degrees): 4.210 4.210 7.869 90.00 90.00 90.00
Space group P4mm (No. 99)
One atom of each set of equivalent atoms:
Ce1 0.000 0.000 0.000 x1
Sc1 0.000 0.000 0.347 x1
Sc2 0.000 0.500 0.637 x2
Sn1 0.500 0.500 0.321 x1

=====

Entry 16:
VASP calculation (PBE) on a relaxed Ba2LaHgAu crystal.

For the formation energy, the calculation gives -0.921 eV per formula unit. The calculation puts the total energy at -13.27 eV/cell.

Lattice parameters (Å, degrees): 6.463 6.463 5.679 90.00 90.00 90.00
Space group P4/mmm (No. 123)
One atom of each set of equivalent atoms:
Ba1 0.000 0.500 0.000 x2
La1 0.000 0.000 0.500 x1
Hg1 0.500 0.500 0.500 x1
Au1 0.000 0.000 0.000 x1

=====

Entry 17:
VASP calculation (PBE) on a relaxed Mg2CuSe2 crystal.

The calculation puts the total energy at -33.34 eV/cell. The offset from the most stable computed form is 213.3 meV/atom. The uncorrected formation energy comes out at -0.483 eV/atom.

Lattice parameters (Å, degrees): 7.291 7.291 3.649 90.00 90.00 90.00
Space group P4/mbm (No. 127)
One atom of each set of equivalent atoms:
Mg1 0.150 0.350 0.000 x4
Cu1 0.000 0.000 0.500 x2
Se1 0.166 0.666 0.500 x4

=====

Entry 18:
VASP calculation (PBE) on a relaxed PuScAl crystal.

For the formation energy, the calculation gives -0.429 eV per formula unit. The calculation puts the total energy at -49.67 eV/cell. The offset from the most stable computed form is 0.0 meV/atom.

Lattice parameters (Å, degrees): 3.105 3.105 13.751 90.00 90.00 90.00
Space group I4mm (No. 107)
One atom of each set of equivalent atoms:
Pu1 0.000 0.000 0.000 x2
Sc1 0.000 0.000 0.307 x2
Al1 0.000 0.000 0.662 x2

=====

Entry 19:
VASP calculation (PBE) on a relaxed CsSiRh3 crystal.

The calculation puts the total energy at -17.19 eV/cell. The offset from the most stable computed form is 1852.8 meV/atom. The uncorrected formation energy comes out at 2.227 eV/atom.

Lattice parameters (Å, degrees): 4.944 4.944 4.944 90.00 90.00 90.00
Space group Pm-3m (No. 221)
One atom of each set of equivalent atoms:
Cs1 0.000 0.000 0.000 x1
Si1 0.500 0.500 0.500 x1
Rh1 0.000 0.000 0.500 x3

=====

Entry 20:
VASP calculation (PBE) on a relaxed Sm4Ga2Hg crystal.

For the formation energy, the calculation gives -1.960 eV per formula unit. The calculation puts the total energy at -81.57 eV/cell. The offset from the most stable computed form is 123.7 meV/atom.

Lattice parameters (Å, degrees): 5.0997 5.0997 27.3192 90.00 90.00 120.00
Space group R-3m (No. 166, hexagonal axes)
One atom of each set of equivalent atoms:
Sm1 0.0000 0.0000 0.1194 x6
Sm2 0.0000 0.0000 0.2946 x6
Ga1 0.0000 0.0000 0.4032 x6
Hg1 0.0000 0.0000 0.5000 x3

=====

Theoretical density for every record listed, in sequence, given in g cm⁻³: 7.86, 8.40, 7.26, 8.43, 6.85, 5.23, 4.10, 6.61, 7.13, 4.96, 11.64, 4.35, 3.09, 7.48, 4.69, 5.68, 4.62, 7.91, 6.45, 7.62.